The following is a DFT calculation (GGA-PBE) of an optimized crystal structure of RbErSi2O6.

a b c (Å): 7.1569 7.1569 5.5193
angles (deg): 98.78 98.78 87.41
Element x y z (fractional)
Si  0.6976  0.8610  0.2011
Si  0.3024  0.1390  0.7989
O  0.6843  0.5503  0.6339
O  0.8232  0.8396  0.9638
Er  0.6146  0.3854  0.2500
O  0.6210  0.0772  0.2522
Er  0.3854  0.6146  0.7500
Rb  0.8189  0.1811  0.7500
O  0.5503  0.6843  0.1339
O  0.1604  0.1768  0.5362
O  0.3157  0.4497  0.3661
O  0.8396  0.8232  0.4638
O  0.0772  0.6210  0.7522
O  0.3790  0.9228  0.7478
O  0.9228  0.3790  0.2478
O  0.1768  0.1604  0.0362
Si  0.1390  0.3024  0.2989
Rb  0.1811  0.8189  0.2500
Si  0.8610  0.6976  0.7011
O  0.4497  0.3157  0.8661

Results
energy = -7.50 eV per atom
space group = C2/c (15)
formation energy (no corrections) = -2787 kJ/mol of formula units
magnetization = 0.000 μB/atom